1.
The following is a DFT calculation (PBE) of crystalline Th2TlH at its relaxed geometry.

Output
**ρ**: 11.753 g/cm3
**E_tot**: -0.1952 hartree per atom
**Distance to the lowest polymorph of the same formula**: 0.031 eV/atom

The structure in extended XYZ format:
```
4
Lattice="-3.4712 0.1918 -0.7239 -1.5908 -2.6298 -1.7788 -3.4677 -4.7964 6.6473" Properties=species:S:1:pos:R:3 pbc="T T T"
Th -6.5182 -5.6965 3.6169
Th -2.0114 -1.5378 0.5276
H 0.0000 0.0000 0.0000
Tl -4.2648 -3.6172 2.0723
```



2.
The following is a DFT calculation (PBE) of crystalline Li4Ga5Ag3 at its relaxed geometry.

Output
**ρ**: 5.282 g/cm3
**E_tot**: -0.0998 hartree per atom
**Energy of formation from the pure elements**: -0.1031 eV/atom

The structure in extended XYZ format:
```
12
Lattice="4.9432 0.0000 0.0000 2.4716 5.9763 -2.0335 2.4716 -0.3993 7.5842" Properties=species:S:1:pos:R:3 pbc="T T T"
Ag 4.9432 1.4960 5.0556
Ag 4.9432 4.0810 0.4951
Ag 2.4716 2.7885 2.7753
Ga 7.4149 2.7937 5.5041
Ga 7.4149 5.2166 4.2733
Ga 4.9432 2.7885 2.7753
Ga 2.4716 0.3604 1.2774
Ga 2.4716 2.7833 0.0465
Li 2.4716 0.0158 4.5971
Li 4.9432 1.3298 -0.0891
Li 4.9432 4.2472 5.6398
Li 7.4149 5.5612 0.9536
```



3.
The following is a DFT calculation (PBE) of crystalline CsHgCl2 at its relaxed geometry.

Output
**ρ**: 3.633 g/cm3
**E_tot**: -0.0710 hartree per atom
**Energy relative to the elements, uncorrected**: -69.3 kJ/mol of atoms
**Distance to the lowest polymorph of the same formula**: 0.502 eV/atom

The structure in extended XYZ format:
```
4
Lattice="2.8413 0.0000 8.8125 -1.4207 2.4607 8.8125 -1.4207 -2.4607 8.8125" Properties=species:S:1:pos:R:3 pbc="T T T"
Cl 0.0000 0.0000 3.1327
Cl 0.0000 0.0000 23.3049
Hg 0.0000 0.0000 13.2188
Cs 0.0000 0.0000 0.0000
```



4.
The following is a DFT calculation (PBE) of crystalline LiCaPmEu at its relaxed geometry.

Output
**ρ**: 4.141 g/cm3
**E_tot**: -0.1669 hartree per atom
**Energy of formation from the pure elements**: 0.1947 eV/atom

The structure in extended XYZ format:
```
4
Lattice="-4.2648 -3.8275 0.8941 -0.2197 -2.9894 4.9651 -4.1496 1.1380 3.8889" Properties=species:S:1:pos:R:3 pbc="T T T"
Pm -4.3170 -2.8395 4.8741
Ca 0.0000 0.0000 0.0000
Li -6.4756 -4.2592 7.3111
Eu -2.1585 -1.4197 2.4370
```



5.
The following is a DFT calculation (PBE) of crystalline CrBPAuI at its relaxed geometry.

Output
**ρ**: 6.824 g/cm3
**E_tot**: -0.1893 hartree per atom
**Energy relative to the elements, uncorrected**: 15.1 kJ/mol of atoms
**Distance to the lowest polymorph of the same formula**: 0.045 eV/atom

The structure in extended XYZ format:
```
5
Lattice="-2.7687 -0.8019 3.7310 1.0033 -3.1300 0.0718 5.6843 1.8902 2.9694" Properties=species:S:1:pos:R:3 pbc="T T T"
Cr 1.2412 -1.2139 5.0057
P 3.0833 -0.6563 3.5728
I -0.4686 -0.0757 3.2474
Au 2.5491 0.9589 6.1804
B 3.2946 1.1212 2.8370
```



6.
The following is a DFT calculation (PBE) of crystalline Tb3Pm2Ho3 at its relaxed geometry.

Output
**ρ**: 8.149 g/cm3
**E_tot**: -0.1698 hartree per atom
**Energy of formation from the pure elements**: 0.0195 eV/atom
**Distance to the lowest polymorph of the same formula**: 0.018 eV/atom

The structure in extended XYZ format:
```
8
Lattice="-3.4053 -1.1372 3.5539 3.0772 -3.5775 1.8037 4.3747 9.0968 3.5122" Properties=species:S:1:pos:R:3 pbc="T T T"
Pm 0.4036 2.8026 4.8738
Pm 3.6430 1.5795 3.9960
Tb 3.0084 2.7205 7.3434
Tb 1.0383 1.6616 1.5265
Tb 1.5386 -1.7887 0.9019
Ho 0.8757 -0.6936 4.2074
Ho -1.7026 -0.5686 1.7770
Ho 3.1710 5.0758 4.6625
```



7.
The following is a DFT calculation (PBE) of crystalline IrAu at its relaxed geometry.

Output
**ρ**: 20.078 g/cm3
**E_tot**: -0.2091 hartree per atom
**Energy of formation from the pure elements**: 0.3801 eV/atom
**Distance to the lowest polymorph of the same formula**: 0.194 eV/atom

The structure in extended XYZ format:
```
2
Lattice="-0.2412 4.3902 -2.2016 -2.6869 3.0715 -2.7433 -2.2883 4.3453 -0.2468" Properties=species:S:1:pos:R:3 pbc="T T T"
Ir -2.6082 5.9035 -2.5958
Au 0.0000 0.0000 0.0000
```



8.
The following is a DFT calculation (PBE) of crystalline LiNbCd at its relaxed geometry.

Output
**ρ**: 6.354 g/cm3
**E_tot**: -0.1555 hartree per atom
**Energy of formation from the pure elements**: 0.0684 eV/atom
**Distance to the lowest polymorph of the same formula**: 0.035 eV/atom

The structure in extended XYZ format:
```
6
Lattice="4.7147 -0.0877 -0.4143 0.1130 8.6029 -0.5351 0.2406 0.1736 2.7026" Properties=species:S:1:pos:R:3 pbc="T T T"
Nb 4.5787 5.4735 1.5379
Nb 2.0859 4.3016 0.4614
Cd 2.1702 1.5771 2.0056
Cd 4.4927 8.1977 -0.0069
Li 4.4240 2.5746 0.3960
Li 2.2397 7.2006 1.6024
```